A relaxed structure of KSr2Cu, computed with PBE.

Summary:
As for the distance to the lowest polymorph of the same formula: 301.6 meV per atom. As for the density: 2.85 g cm⁻³. As for the formation energy: 0.33 eV/atom. The calculation puts the total magnetization at 0.00 μB per cell. The density of states at the Fermi level is 0.8984 states/eV per atom.

```
data_KSr2Cu
_chemical_formula_sum 'K1 Sr2 Cu1'
_cell_length_a 4.9764
_cell_length_b 5.6947
_cell_length_c 5.7221
_cell_angle_alpha 90.00
_cell_angle_beta 90.00
_cell_angle_gamma 90.00
_space_group_name_H-M_alt 'P m m m'
_space_group_IT_number 47
_space_group_name_Hall '-P 2 2'
loop_
_atom_site_label
_atom_site_type_symbol
_atom_site_fract_x
_atom_site_fract_y
_atom_site_fract_z
K1 K 0.0000 0.0000 0.0000
Sr1 Sr 0.5000 0.0000 0.5000
Sr2 Sr 0.5000 0.5000 0.0000
Cu1 Cu 0.0000 0.5000 0.5000
```

***

A relaxed structure of Cs2TiSnBr6, computed with PBE.

Summary:
As for the density: 4.17 g cm⁻³. For the uncorrected formation energy, the calculation gives -1.2479 eV per atom. The calculation puts the total magnetization at 8.00 μB per cell. The density of states at the Fermi level is 1.4306 states/eV per atom.

```
data_Cs2TiSnBr6
_chemical_formula_sum 'Cs8 Ti4 Sn4 Br24'
_cell_length_a 11.3208
_cell_length_b 11.3208
_cell_length_c 11.3208
_cell_angle_alpha 90.00
_cell_angle_beta 90.00
_cell_angle_gamma 90.00
_space_group_name_H-M_alt 'F m -3 m'
_space_group_IT_number 225
_space_group_name_Hall '-F 4 2 3'
loop_
_atom_site_label
_atom_site_type_symbol
_atom_site_fract_x
_atom_site_fract_y
_atom_site_fract_z
Cs1 Cs 0.2500 0.2500 0.2500
Ti1 Ti 0.0000 0.0000 0.0000
Sn1 Sn 0.0000 0.0000 0.5000
Br1 Br 0.0000 0.0000 0.2378
```

***

A relaxed structure of Cs2ZrBr, computed with PBE.

Summary:
As for the distance to the lowest polymorph of the same formula: 0.0 meV per atom. As for the density: 2.90 g cm⁻³. For the uncorrected formation energy, the calculation gives 0.1709 eV per atom. The calculation puts the total magnetization at 11.88 μB per cell. The density of states at the Fermi level is 1.4711 states/eV per atom.

```
data_Cs2ZrBr
_chemical_formula_sum 'Cs8 Zr4 Br4'
_cell_length_a 13.7097
_cell_length_b 13.7097
_cell_length_c 5.3224
_cell_angle_alpha 90.00
_cell_angle_beta 90.00
_cell_angle_gamma 90.00
_space_group_name_H-M_alt 'I -4 2 d'
_space_group_IT_number 122
_space_group_name_Hall 'I -4 2bw'
loop_
_atom_site_label
_atom_site_type_symbol
_atom_site_fract_x
_atom_site_fract_y
_atom_site_fract_z
Cs1 Cs 0.0896 0.7500 0.1250
Zr1 Zr 0.0000 0.0000 0.5000
Br1 Br 0.0000 0.0000 0.0000
```

***

A relaxed structure of Tl2Hg4N3, computed with PBE.

Summary:
As for the density: 9.76 g cm⁻³. For the uncorrected formation energy, the calculation gives 1.0620 eV per atom. The calculation puts the total magnetization at 2.42 μB per cell. The density of states at the Fermi level is 0.2202 states/eV per atom.

```
data_Tl2Hg4N3
_chemical_formula_sum 'Tl8 Hg16 N12'
_cell_length_a 5.6612
_cell_length_b 22.0186
_cell_length_c 6.8383
_cell_angle_alpha 90.00
_cell_angle_beta 90.00
_cell_angle_gamma 90.00
_space_group_name_H-M_alt 'C c c m'
_space_group_IT_number 66
_space_group_name_Hall '-C 2 2c'
loop_
_atom_site_label
_atom_site_type_symbol
_atom_site_fract_x
_atom_site_fract_y
_atom_site_fract_z
Tl1 Tl 0.2302 0.1343 0.0000
Hg1 Hg 0.2319 0.4783 0.5000
Hg2 Hg 0.2470 0.1822 0.5000
N1 N 0.0000 0.0000 0.2500
N2 N 0.0000 0.3431 0.2500
```

***

A relaxed structure of H8Cl2F, computed with PBE.

Summary:
The calculation puts the energy at -3.00 eV/atom. As for the density: 1.05 g cm⁻³. The calculation puts the total magnetization at 2.01 μB per cell. The density of states at the Fermi level is 0.1577 states/eV per atom.

```
data_H8Cl2F
_chemical_formula_sum 'H16 Cl4 F2'
_cell_length_a 6.7868
_cell_length_b 16.5488
_cell_length_c 3.0006
_cell_angle_alpha 90.00
_cell_angle_beta 113.63
_cell_angle_gamma 90.00
_space_group_name_H-M_alt 'C 1 2/m 1'
_space_group_IT_number 12
_space_group_name_Hall '-C 2y'
loop_
_atom_site_label
_atom_site_type_symbol
_atom_site_fract_x
_atom_site_fract_y
_atom_site_fract_z
H1 H 0.0000 0.1550 0.0000
H2 H 0.0342 0.3340 0.4282
H3 H 0.0562 0.5000 0.0052
Cl1 Cl 0.0000 0.1253 0.5000
F1 F 0.0000 0.0000 0.0000
```

***

A relaxed structure of Ta2BeCo, computed with PBE.

Summary:
As for the density: 12.75 g cm⁻³. As for the formation energy: -0.02 eV/atom. The calculation puts the total magnetization at 0.00 μB per cell. The density of states at the Fermi level is 0.7077 states/eV per atom.

```
data_Ta2BeCo
_chemical_formula_sum 'Ta4 Be2 Co2'
_cell_length_a 2.8524
_cell_length_b 4.3604
_cell_length_c 9.0021
_cell_angle_alpha 90.00
_cell_angle_beta 90.00
_cell_angle_gamma 90.00
_space_group_name_H-M_alt 'I m m 2'
_space_group_IT_number 44
_space_group_name_Hall 'I 2 -2'
loop_
_atom_site_label
_atom_site_type_symbol
_atom_site_fract_x
_atom_site_fract_y
_atom_site_fract_z
Ta1 Ta 0.0000 0.0000 0.0000
Ta2 Ta 0.0000 0.5000 0.2288
Be1 Be 0.0000 0.5000 0.7813
Co1 Co 0.0000 0.0000 0.4781
```

***

A relaxed structure of Ac3Pr8Ho, computed with PBE.

Summary:
As for the density: 6.96 g cm⁻³. As for the formation energy: 0.24 eV/atom. The calculation puts the total magnetization at 0.00 μB per cell. The density of states at the Fermi level is 1.3875 states/eV per atom.

```
data_Ac3Pr8Ho
_chemical_formula_sum 'Ac6 Pr16 Ho2'
_cell_length_a 6.7768
_cell_length_b 9.6104
_cell_length_c 14.4512
_cell_angle_alpha 90.00
_cell_angle_beta 90.00
_cell_angle_gamma 90.00
_space_group_name_H-M_alt 'I 2 2 2'
_space_group_IT_number 23
_space_group_name_Hall 'I 2 2'
loop_
_atom_site_label
_atom_site_type_symbol
_atom_site_fract_x
_atom_site_fract_y
_atom_site_fract_z
Ac1 Ac 0.0000 0.0000 0.0000
Ac2 Ac 0.0000 0.5000 0.3691
Pr1 Pr 0.1320 0.3419 0.1008
Pr2 Pr 0.1402 0.1490 0.2938
Ho1 Ho 0.0000 0.0000 0.5000
```

***

A relaxed structure of NaGaSi2Te6, computed with PBE.

Summary:
As for the density: 4.30 g cm⁻³. For the uncorrected formation energy, the calculation gives -0.1640 eV per atom. The calculation puts the total magnetization at 0.00 μB per cell.

```
data_NaGaSi2Te6
_chemical_formula_sum 'Na4 Ga4 Si8 Te24'
_cell_length_a 14.4177
_cell_length_b 14.1216
_cell_length_c 7.4893
_cell_angle_alpha 90.00
_cell_angle_beta 112.20
_cell_angle_gamma 90.00
_space_group_name_H-M_alt 'C 1 2/c 1'
_space_group_IT_number 15
_space_group_name_Hall '-C 2yc'
loop_
_atom_site_label
_atom_site_type_symbol
_atom_site_fract_x
_atom_site_fract_y
_atom_site_fract_z
Na1 Na 0.0000 0.1361 0.2500
Ga1 Ga 0.0000 0.2136 0.7500
Si1 Si 0.2005 0.4259 0.2059
Te1 Te 0.1087 0.0693 0.6756
Te2 Te 0.1305 0.4352 0.4766
Te3 Te 0.1368 0.2593 0.0935
```

***

A relaxed structure of Er11Hg9Pt4, computed with PBE.

Summary:
As for the density: 12.92 g cm⁻³. As for the formation energy: -0.76 eV/atom. The calculation puts the total magnetization at 0.00 μB per cell. The density of states at the Fermi level is 0.7525 states/eV per atom.

```
data_Er11Hg9Pt4
_chemical_formula_sum 'Er22 Hg18 Pt8'
_cell_length_a 14.3818
_cell_length_b 21.8231
_cell_length_c 3.6256
_cell_angle_alpha 90.00
_cell_angle_beta 90.00
_cell_angle_gamma 90.00
_space_group_name_H-M_alt 'C m m m'
_space_group_IT_number 65
_space_group_name_Hall '-C 2 2'
loop_
_atom_site_label
_atom_site_type_symbol
_atom_site_fract_x
_atom_site_fract_y
_atom_site_fract_z
Er1 Er 0.0000 0.0000 0.0000
Er2 Er 0.0000 0.1658 0.0000
Er3 Er 0.0000 0.3696 0.0000
Er4 Er 0.2016 0.5000 0.0000
Er5 Er 0.2461 0.1687 0.0000
Hg1 Hg 0.0000 0.5000 0.5000
Hg2 Hg 0.1094 0.2581 0.5000
Hg3 Hg 0.1354 0.0751 0.5000
Pt1 Pt 0.1499 0.4013 0.5000
```

***

A relaxed structure of CaTiInF6, computed with PBE.

Summary:
As for the density: 3.18 g cm⁻³. For the uncorrected formation energy, the calculation gives -3.1217 eV per atom. The calculation puts the total magnetization at 2.00 μB per cell. The density of states at the Fermi level is 0.7162 states/eV per atom.

```
data_CaTiInF6
_chemical_formula_sum 'Ca2 Ti2 In2 F12'
_cell_length_a 5.8987
_cell_length_b 5.8987
_cell_length_c 10.9647
_cell_angle_alpha 90.00
_cell_angle_beta 90.00
_cell_angle_gamma 120.00
_space_group_name_H-M_alt 'P -3 1 c'
_space_group_IT_number 163
_space_group_name_Hall '-P 3 2c'
loop_
_atom_site_label
_atom_site_type_symbol
_atom_site_fract_x
_atom_site_fract_y
_atom_site_fract_z
Ca1 Ca 0.3333 0.6667 0.2500
Ti1 Ti 0.3333 0.6667 0.7500
In1 In 0.0000 0.0000 0.0000
F1 F 0.0349 0.3955 0.6512
```

***

A relaxed structure of Li5MoN4, computed with PBE.

Summary:
As for the density: 2.73 g cm⁻³. For the uncorrected formation energy, the calculation gives -0.5258 eV per atom. The calculation puts the total magnetization at 2.07 μB per cell. The density of states at the Fermi level is 0.5837 states/eV per atom.

```
data_Li5MoN4
_chemical_formula_sum 'Li10 Mo2 N8'
_cell_length_a 6.7719
_cell_length_b 6.7865
_cell_length_c 4.9326
_cell_angle_alpha 90.00
_cell_angle_beta 90.00
_cell_angle_gamma 90.00
_space_group_name_H-M_alt 'P m m n'
_space_group_IT_number 59
loop_
_space_group_symop_operation_xyz
'x,y,z'
'-x,-y,-z'
'-x+1/2,-y+1/2,z'
'x+1/2,y+1/2,-z'
'x+1/2,-y,-z'
'-x+1/2,y,z'
'-x,y+1/2,-z'
'x,-y+1/2,z'
loop_
_atom_site_label
_atom_site_type_symbol
_atom_site_fract_x
_atom_site_fract_y
_atom_site_fract_z
Li1 Li 0.0531 0.0119 0.2467
Li2 Li 0.2500 0.7500 0.7067
Mo1 Mo 0.2500 0.2500 0.7210
N1 N 0.0171 0.2500 0.5134
N2 N 0.2500 0.0191 0.9292
```

***

A relaxed structure of Na2CaMnCl8, computed with PBE.

Summary:
As for the density: 2.21 g cm⁻³. For the uncorrected formation energy, the calculation gives -1.4945 eV per atom. The calculation puts the total magnetization at 3.18 μB per cell.

```
data_Na2CaMnCl8
_chemical_formula_sum 'Na2 Ca1 Mn1 Cl8'
_cell_length_a 6.2210
_cell_length_b 7.9876
_cell_length_c 6.4226
_cell_angle_alpha 90.00
_cell_angle_beta 93.50
_cell_angle_gamma 90.00
_space_group_name_H-M_alt 'P 1 2/m 1'
_space_group_IT_number 10
_space_group_name_Hall '-P 2y'
loop_
_atom_site_label
_atom_site_type_symbol
_atom_site_fract_x
_atom_site_fract_y
_atom_site_fract_z
Na1 Na 0.0000 0.2461 0.0000
Ca1 Ca 0.5000 0.5000 0.5000
Mn1 Mn 0.5000 0.0000 0.5000
Cl1 Cl 0.2408 0.5000 0.1606
Cl2 Cl 0.2827 0.0000 0.1994
Cl3 Cl 0.2892 0.2054 0.6363
```